Run A
{"formula": "CsBiIr", "functional": "GGA-PBE", "state": "relaxed", "cell": [[0.000, 3.710, 3.710], [3.710, 0.000, 3.710], [3.710, 3.710, 0.000]], "species": ["Cs", "Bi", "Ir"], "fractional_positions": [[0.000, 0.000, 0.000], [0.250, 0.250, 0.250], [0.500, 0.500, 0.500]], "magnetic_moment_mub_per_atom": 0.000, "density_g_cm3": 8.7}

---

Run B
{"formula": "CsBiIr", "functional": "GGA-PBE", "state": "relaxed", "cell": [[0.000, 3.610, 3.610], [3.610, 0.000, 3.610], [3.610, 3.610, 0.000]], "species": ["Cs", "Bi", "Ir"], "fractional_positions": [[0.000, 0.000, 0.000], [0.500, 0.500, 0.500], [0.750, 0.750, 0.750]], "magnetic_moment_mub_per_atom": 0.004, "density_g_cm3": 9.4}

---

How far above the most stable structure does each one sit? In meV per atom: run A 396; run B 0.